1.
{
  "formula": "CrCoAg2F6",
  "functional": "GGA+U",
  "state": "relaxed",
  "lattice": [[-2.849, 2.878, 4.250], [2.849, -2.878, 4.250], [2.849, 2.878, -4.250]],
  "species": ["Cr", "Co", "Ag", "Ag", "F", "F", "F", "F", "F", "F"],
  "fractional_positions": [[0.000, 0.000, 0.000], [0.500, 0.500, 0.000], [0.243, 0.743, 0.500], [0.757, 0.257, 0.500], [0.245, 0.251, 0.495], [0.245, 0.749, 0.994], [0.263, 0.263, 0.000], [0.737, 0.737, 0.000], [0.755, 0.251, 0.006], [0.755, 0.749, 0.505]],
  "magnetic_moment_mub_per_cell": 6.86,
  "sg": "Immm (71)",
  "final_energy_ev_per_atom": -4.70
}

2.
{
  "formula": "CrCoAgF6",
  "functional": "GGA+U",
  "state": "relaxed",
  "lattice": [[5.373, 0.000, 0.000], [-2.686, 4.653, 0.000], [0.000, 0.000, 10.445]],
  "species": ["Cr", "Cr", "Co", "Co", "Ag", "Ag", "F", "F", "F", "F", "F", "F", "F", "F", "F", "F", "F", "F"],
  "fractional_positions": [[0.333, 0.667, 0.250], [0.667, 0.333, 0.750], [0.333, 0.667, 0.750], [0.667, 0.333, 0.250], [0.000, 0.000, 0.000], [0.000, 0.000, 0.500], [0.016, 0.373, 0.148], [0.016, 0.643, 0.352], [0.357, 0.373, 0.352], [0.357, 0.984, 0.148], [0.373, 0.016, 0.648], [0.373, 0.357, 0.852], [0.627, 0.643, 0.148], [0.627, 0.984, 0.352], [0.643, 0.016, 0.852], [0.643, 0.627, 0.648], [0.984, 0.357, 0.648], [0.984, 0.627, 0.852]],
  "magnetic_moment_mub_per_cell": 11.86,
  "sg": "P-31c (163)",
  "final_energy_ev_per_atom": -5.12
}